# Ti2HSe (PBE, relaxed)
# **Final energy**: -6.25 eV/atom
# **Magnetic moment**: 0.00 μB/atom
data_Ti2HSe
_cell_length_a 6.000
_cell_length_b 6.000
_cell_length_c 5.800
_cell_angle_alpha 90.00
_cell_angle_beta 90.00
_cell_angle_gamma 90.00
_symmetry_space_group_name_H-M 'I -4 2 d'
_symmetry_Int_Tables_number 122
_symmetry_space_group_name_Hall 'I -4 2bw'
loop_
_atom_site_label
_atom_site_type_symbol
_atom_site_fract_x
_atom_site_fract_y
_atom_site_fract_z
Ti1 Ti 0.156 0.250 0.125
H1 H 0.000 0.000 0.000
Se1 Se 0.000 0.000 0.500

# TiMn8Os3 (PBE, relaxed)
# **Energy of formation**: -112 meV/atom
# **Magnetic moment**: 0.00 μB/atom
data_TiMn8Os3
_cell_length_a 4.6607
_cell_length_b 4.6607
_cell_length_c 7.6335
_cell_angle_alpha 90.00
_cell_angle_beta 90.00
_cell_angle_gamma 120.00
_symmetry_space_group_name_H-M 'P 3 m 1'
_symmetry_Int_Tables_number 156
loop_
_symmetry_equiv_pos_as_xyz
'x,y,z'
'-y,x-y,z'
'-x+y,-x,z'
'-y,-x,z'
'-x+y,y,z'
'x,x-y,z'
loop_
_atom_site_label
_atom_site_type_symbol
_atom_site_fract_x
_atom_site_fract_y
_atom_site_fract_z
Ti1 Ti 0.0000 0.0000 0.0000
Mn1 Mn 0.1590 0.3180 0.6865
Mn2 Mn 0.3333 0.6667 0.4372
Mn3 Mn 0.3333 0.6667 0.9401
Mn4 Mn 0.5077 0.0154 0.1893
Os1 Os 0.0000 0.0000 0.3681
Os2 Os 0.6667 0.3333 0.5075
Os3 Os 0.6667 0.3333 0.8648

# YErFeCu (PBE, relaxed)
# **Energy of formation**: -23 meV/atom
# **Magnetic moment**: 0.00 μB/atom
data_YErFeCu
_cell_length_a 6.760
_cell_length_b 6.760
_cell_length_c 6.760
_cell_angle_alpha 90.00
_cell_angle_beta 90.00
_cell_angle_gamma 90.00
_symmetry_space_group_name_H-M 'F -4 3 m'
_symmetry_Int_Tables_number 216
_symmetry_space_group_name_Hall 'F -4 2 3'
loop_
_atom_site_label
_atom_site_type_symbol
_atom_site_fract_x
_atom_site_fract_y
_atom_site_fract_z
Y1 Y 0.000 0.000 0.000
Er1 Er 0.000 0.000 0.500
Fe1 Fe 0.250 0.250 0.750
Cu1 Cu 0.250 0.250 0.250

# Li2CaBe (PBE, relaxed)
# **Energy of formation**: 401 meV/atom
# **Magnetic moment**: 0.00 μB/atom
data_Li2CaBe
_cell_length_a 5.746
_cell_length_b 10.158
_cell_length_c 3.618
_cell_angle_alpha 90.00
_cell_angle_beta 124.97
_cell_angle_gamma 90.00
_symmetry_space_group_name_H-M 'C 1 2/m 1'
_symmetry_Int_Tables_number 12
loop_
_symmetry_equiv_pos_as_xyz
'x,y,z'
'-x,-y,-z'
'-x,y,-z'
'x,-y,z'
'x+1/2,y+1/2,z'
'-x+1/2,-y+1/2,-z'
'-x+1/2,y+1/2,-z'
'x+1/2,-y+1/2,z'
loop_
_atom_site_label
_atom_site_type_symbol
_atom_site_fract_x
_atom_site_fract_y
_atom_site_fract_z
Li1 Li 0.250 0.250 0.000
Ca1 Ca 0.000 0.000 0.500
Be1 Be 0.000 0.500 0.500

# NdPu2PaS4 (PBE, relaxed)
# **E_form (uncorrected)**: -1.7842 eV per atom
# **Magnetic moment**: 1.37 μB/atom
data_NdPu2PaS4
_cell_length_a 6.860
_cell_length_b 3.942
_cell_length_c 6.866
_cell_angle_alpha 90.00
_cell_angle_beta 109.27
_cell_angle_gamma 90.00
_symmetry_space_group_name_H-M 'P 1 2/m 1'
_symmetry_Int_Tables_number 10
loop_
_symmetry_equiv_pos_as_xyz
'x,y,z'
'-x,-y,-z'
'-x,y,-z'
'x,-y,z'
loop_
_atom_site_label
_atom_site_type_symbol
_atom_site_fract_x
_atom_site_fract_y
_atom_site_fract_z
Nd1 Nd 0.000 0.000 0.000
Pu1 Pu 0.500 0.000 0.500
Pu2 Pu 0.500 0.500 0.000
Pa1 Pa 0.000 0.500 0.500
S1 S 0.254 0.000 0.746
S2 S 0.257 0.500 0.259

# TcAu2Br (PBE, relaxed)
# **E_form (uncorrected)**: 0.4955 eV per atom
# **Magnetic moment**: 0.25 μB/atom
data_TcAu2Br
_cell_length_a 2.960
_cell_length_b 5.239
_cell_length_c 10.254
_cell_angle_alpha 90.00
_cell_angle_beta 90.00
_cell_angle_gamma 90.00
_symmetry_space_group_name_H-M 'C m m 2'
_symmetry_Int_Tables_number 35
loop_
_symmetry_equiv_pos_as_xyz
'x,y,z'
'-x,-y,z'
'-x,y,z'
'x,-y,z'
'x+1/2,y+1/2,z'
'-x+1/2,-y+1/2,z'
'-x+1/2,y+1/2,z'
'x+1/2,-y+1/2,z'
loop_
_atom_site_label
_atom_site_type_symbol
_atom_site_fract_x
_atom_site_fract_y
_atom_site_fract_z
Tc1 Tc 0.000 0.000 0.000
Au1 Au 0.000 0.000 0.529
Au2 Au 0.000 0.500 0.772
Br1 Br 0.000 0.500 0.200

- What is the magnetic moment in the sixth record?
  0.25 μB/atom